# GGA+U Li7MnO3F3, relaxed
data_Li7MnO3F3
_cell_length_a 5.4950
_cell_length_b 6.0300
_cell_length_c 10.0751
_cell_angle_alpha 105.79
_cell_angle_beta 90.96
_cell_angle_gamma 111.73
_symmetry_space_group_name_H-M 'P 1'
_symmetry_Int_Tables_number 1
_symmetry_space_group_name_Hall 'P 1'
loop_
_atom_site_label
_atom_site_type_symbol
_atom_site_fract_x
_atom_site_fract_y
_atom_site_fract_z
Li1 Li 0.0000 0.0000 0.0000
Li2 Li 0.0030 0.3052 0.5256
Li3 Li 0.0170 0.0360 0.6554
Li4 Li 0.0215 0.3155 0.8771
Li5 Li 0.0441 0.0410 0.3207
Li6 Li 0.0937 0.7380 0.4580
Li7 Li 0.4316 0.6206 0.6046
Li8 Li 0.4614 0.3152 0.7334
Li9 Li 0.5049 0.2914 0.3843
Li10 Li 0.5145 0.0148 0.1508
Li11 Li 0.5171 0.3441 0.0451
Li12 Li 0.5564 0.9928 0.8261
Li13 Li 0.5727 0.0316 0.5399
Li14 Li 0.9934 0.3658 0.2200
Mn1 Mn 0.0456 0.6966 0.7594
Mn2 Mn 0.5503 0.6601 0.3133
O1 O 0.1748 0.4138 0.7144
O2 O 0.2255 0.4398 0.3973
O3 O 0.3176 0.9164 0.6491
O4 O 0.6592 0.3769 0.2272
O5 O 0.8456 0.9342 0.4641
O6 O 0.8610 0.9302 0.8108
F1 F 0.1829 0.3749 0.0614
F2 F 0.3323 0.9531 0.9764
F3 F 0.3395 0.9317 0.3222
F4 F 0.6707 0.3820 0.5683
F5 F 0.6910 0.3614 0.8872
F6 F 0.8278 0.9562 0.1569
# ρ, Mg/m³: 2.3
# E above lowest polymorph, eV per atom: 0.033
# M_tot, μB/atom: 0.36